Here is a geometry-optimized Li2NdMgAu4 structure from Alexandria via LeMat-Bulk. Energies are from PBE.

Structure (CIF):
```
data_Li2NdMgAu4
_cell_length_a 4.5916
_cell_length_b 4.5916
_cell_length_c 25.6739
_cell_angle_alpha 90.00
_cell_angle_beta 90.00
_cell_angle_gamma 120.00
_symmetry_space_group_name_H-M 'R -3 m'
_symmetry_Int_Tables_number 166
_symmetry_space_group_name_Hall '-R 3 2"'
loop_
_atom_site_label
_atom_site_fract_x
_atom_site_fract_y
_atom_site_fract_z
Li1 0.0000 0.0000 0.2376
Nd1 0.0000 0.0000 0.0000
Mg1 0.0000 0.0000 0.5000
Au1 0.0000 0.0000 0.1260
Au2 0.0000 0.0000 0.3954
```

Formation energy from the elements ... -624.4 meV/atom


Here is a geometry-optimized La2NdH structure from Alexandria via LeMat-Bulk. Energies are from PBE.

Structure (CIF):
```
data_La2NdH
_cell_length_a 3.7510
_cell_length_b 3.7510
_cell_length_c 27.0856
_cell_angle_alpha 90.00
_cell_angle_beta 90.00
_cell_angle_gamma 120.00
_symmetry_space_group_name_H-M 'R 3 m'
_symmetry_Int_Tables_number 160
_symmetry_space_group_name_Hall 'R 3 -2"'
loop_
_atom_site_label
_atom_site_fract_x
_atom_site_fract_y
_atom_site_fract_z
La1 0.0000 0.0000 0.0000
La2 0.0000 0.0000 0.2233
Nd1 0.0000 0.0000 0.4469
H1 0.0000 0.0000 0.6123
```

E above lowest polymorph ... 0 meV per atom


| no. | uncorrected energy (eV per atom) | N(E_F) (states/eV/atom) |
| --- | --- | --- |
| 1 | -3.54 | 0.427 |
| 2 | -4.66 | 1.189 |